First-principles (PBE) data for a relaxed structure of YGaAs, as listed in the Alexandria database.

Structure (extended XYZ):
```
6
Lattice="4.7182 0.0000 0.0000 2.3591 4.0861 0.0000 2.3591 1.3620 7.9178" Properties=species:S:1:pos:R:3 pbc="T T T"
Y 4.7182 2.7241 1.7812
Y 4.7182 2.7241 6.1366
As 2.3591 1.3620 1.1945
As 7.0773 4.0861 6.7232
Ga 7.0773 4.0861 4.1614
Ga 2.3591 1.3620 3.7564
```

Results
**DFT total energy**: -32.58 eV/cell
**Density of states at the Fermi level**: 0.48 states/eV/f.u.

***

First-principles (PBE) data for a relaxed structure of Y2GaAs2, as listed in the Alexandria database.

Structure (extended XYZ):
```
10
Lattice="7.7058 0.0000 0.0000 0.0000 7.7058 0.0000 0.0000 0.0000 3.8586" Properties=species:S:1:pos:R:3 pbc="T T T"
Y 1.2257 5.0786 1.9293
Y 5.0786 6.4801 1.9293
Y 6.4801 2.6272 1.9293
Y 2.6272 1.2257 1.9293
As 2.7139 6.5668 0.0000
As 6.5668 4.9919 0.0000
As 4.9919 1.1390 0.0000
As 1.1390 2.7139 0.0000
Ga 0.0000 0.0000 0.0000
Ga 3.8529 3.8529 0.0000
```

Results
**ΔE to the lowest computed polymorph**: 0.0 meV/atom
**DFT total energy**: -60.44 eV/cell
**Density of states at the Fermi level**: 1.58 states/eV/f.u.

***

First-principles (PBE) data for a relaxed structure of YGa2As2, as listed in the Alexandria database.

Structure (extended XYZ):
```
5
Lattice="3.8836 0.0000 0.0000 0.0000 3.8836 0.0000 1.9418 1.9418 7.3505" Properties=species:S:1:pos:R:3 pbc="T T T"
Y 0.0000 0.0000 0.0000
As 1.9418 1.9418 1.2876
As 3.8836 3.8836 6.0629
Ga 3.8836 1.9418 3.6752
Ga 1.9418 3.8836 3.6752
```

Results
**DFT total energy**: -24.08 eV/cell
**Density of states at the Fermi level**: 1.83 states/eV/f.u.

***

First-principles (PBE) data for a relaxed structure of Y2GaAs, as listed in the Alexandria database.

Structure (extended XYZ):
```
8
Lattice="-0.5157 -7.5216 -1.5894 3.7217 1.1496 -6.6478 4.6239 -3.7306 -2.5216" Properties=species:S:1:pos:R:3 pbc="T T T"
Y 1.2934 -5.5709 -2.4718
Y 3.4232 -1.0735 -4.9669
Y 4.6302 -5.1998 -4.9086
Y 6.3133 -8.3611 -9.1702
As 0.0000 0.0000 0.0000
As 2.8556 -7.2191 -4.1148
Ga 1.6030 -3.1860 -4.1186
Ga 4.9743 -2.8835 -6.6440
```

Results
**ΔE to the lowest computed polymorph**: 441.8 meV/atom
**DFT total energy**: -46.49 eV/cell
**Density of states at the Fermi level**: 0.95 states/eV/f.u.

***

First-principles (PBE) data for a relaxed structure of YGa3As, as listed in the Alexandria database.

Structure (extended XYZ):
```
5
Lattice="-3.3086 -3.2367 -1.7476 2.1785 -3.6182 2.5768 -2.9638 0.9537 3.8450" Properties=species:S:1:pos:R:3 pbc="T T T"
Y -2.0470 -2.9506 2.3371
As 0.0000 0.0000 0.0000
Ga 1.0893 -1.8091 1.2884
Ga -1.4819 0.4769 1.9225
Ga -1.6543 -1.6184 -0.8738
```

Results
**ΔE to the lowest computed polymorph**: 0.0 meV/atom
**DFT total energy**: -19.31 eV/cell
**Density of states at the Fermi level**: 2.73 states/eV/f.u.

***

First-principles (PBE) data for a relaxed structure of YGaAs2, as listed in the Alexandria database.

Structure (extended XYZ):
```
8
Lattice="-5.3058 -4.2317 1.3659 2.5743 -4.6570 -4.4283 0.7855 -6.1567 1.5200" Properties=species:S:1:pos:R:3 pbc="T T T"
Y 0.0000 0.0000 0.0000
Y -2.9430 -7.4164 0.6774
As -2.5525 -4.5704 0.6170
As 0.8966 -5.1745 -2.1538
As -0.3161 -8.1662 -0.2132
As -1.9200 -12.1797 -1.3348
Ga -1.3657 -4.4444 -1.5312
Ga 0.9970 -7.6290 -2.2198
```

Results
**DFT total energy**: -42.53 eV/cell
**Density of states at the Fermi level**: 0.00 states/eV/f.u.

***

First-principles (PBE) data for a relaxed structure of Y2GaAs, as listed in the Alexandria database.

Structure (extended XYZ):
```
8
Lattice="-3.6740 1.2603 1.3156 0.5503 -2.1406 3.5873 4.5838 10.2778 2.9552" Properties=species:S:1:pos:R:3 pbc="T T T"
Y -0.6745 3.2968 4.5453
Y 2.1346 6.1006 3.3129
Y 1.7396 7.8714 6.9047
Y -0.2795 1.5260 0.9535
Ga 3.5868 8.8524 4.7322
Ga -2.1267 0.5450 3.1260
As 0.9130 3.7856 2.1189
As 0.5471 5.6118 5.7393
```

Results
**ΔE to the lowest computed polymorph**: 0.0 meV/atom
**DFT total energy**: -50.02 eV/cell
**Density of states at the Fermi level**: 1.93 states/eV/f.u.

***

First-principles (PBE) data for a relaxed structure of Y2GaAs, as listed in the Alexandria database.

Structure (extended XYZ):
```
4
Lattice="-1.2647 2.9873 -2.1089 -3.1698 1.9330 1.0895 3.8557 7.5061 4.7707" Properties=species:S:1:pos:R:3 pbc="T T T"
Y 2.1500 5.6302 3.1364
Y -2.7288 6.7962 0.6148
As -0.2894 6.2132 1.8756
Ga 0.0000 0.0000 0.0000
```

Results
**ΔE to the lowest computed polymorph**: 627.0 meV/atom
**DFT total energy**: -22.50 eV/cell
**Density of states at the Fermi level**: 4.33 states/eV/f.u.

***

First-principles (PBE) data for a relaxed structure of YGa2As2, as listed in the Alexandria database.

Structure (extended XYZ):
```
10
Lattice="7.3177 0.0000 0.0000 0.0000 7.3177 0.0000 0.0000 0.0000 4.0138" Properties=species:S:1:pos:R:3 pbc="T T T"
Y 0.0000 0.0000 0.0000
Y 3.6588 3.6588 0.0000
As 2.7142 6.3731 0.0000
As 6.3731 4.6034 0.0000
As 4.6034 0.9446 0.0000
As 0.9446 2.7142 0.0000
Ga 1.3091 4.9679 2.0069
Ga 4.9679 6.0086 2.0069
Ga 6.0086 2.3498 2.0069
Ga 2.3498 1.3091 2.0069
```

Results
**DFT total energy**: -47.07 eV/cell
**Density of states at the Fermi level**: 1.94 states/eV/f.u.

***

First-principles (PBE) data for a relaxed structure of Zn2GaAs2, as listed in the Alexandria database.

Structure (extended XYZ):
```
5
Lattice="4.1914 0.0000 0.0000 0.0000 4.1914 0.0000 2.0957 2.0957 5.7692" Properties=species:S:1:pos:R:3 pbc="T T T"
As 4.1914 2.0957 2.8846
As 2.0957 4.1914 2.8846
Zn 2.0957 2.0957 1.2124
Zn 4.1915 4.1915 4.5568
Ga 0.0000 0.0000 0.0000
```

Results
**ΔE to the lowest computed polymorph**: 95.3 meV/atom
**DFT total energy**: -14.20 eV/cell
**Density of states at the Fermi level**: 2.42 states/eV/f.u.

***

First-principles (PBE) data for a relaxed structure of ZnGaAs, as listed in the Alexandria database.

Structure (extended XYZ):
```
6
Lattice="4.1630 0.0000 0.0000 0.0000 4.9987 -0.4893 0.0000 -1.7821 6.1178" Properties=species:S:1:pos:R:3 pbc="T T T"
As 1.0407 3.0121 4.0424
As 3.1222 0.2045 1.5860
Ga 1.0407 1.4695 0.3576
Ga 3.1222 1.7471 5.2708
Zn 3.1222 -0.4693 4.0448
Zn 1.0407 3.6859 1.5836
```

Results
**DFT total energy**: -18.24 eV/cell
**Density of states at the Fermi level**: 0.25 states/eV/f.u.

***

First-principles (PBE) data for a relaxed structure of ZnGa2As2, as listed in the Alexandria database.

Structure (extended XYZ):
```
10
Lattice="7.4842 0.0000 0.0000 0.0000 7.4842 0.0000 0.0000 0.0000 3.9032" Properties=species:S:1:pos:R:3 pbc="T T T"
As 1.9887 5.7308 0.0000
As 5.7308 5.4955 0.0000
As 5.4955 1.7534 0.0000
As 1.7534 1.9887 0.0000
Zn 0.0000 0.0000 0.0000
Zn 3.7421 3.7421 0.0000
Ga 0.8786 4.6207 1.9516
Ga 4.6207 6.6056 1.9516
Ga 6.6056 2.8635 1.9516
Ga 2.8635 0.8786 1.9516
```

Results
**ΔE to the lowest computed polymorph**: 0.0 meV/atom
**DFT total energy**: -32.32 eV/cell
**Density of states at the Fermi level**: 1.74 states/eV/f.u.

***

First-principles (PBE) data for a relaxed structure of ZnGa2As2, as listed in the Alexandria database.

Structure (extended XYZ):
```
5
Lattice="-1.9952 2.2678 -2.7965 -3.4045 -2.2286 0.6216 -4.6289 4.3240 3.7796" Properties=species:S:1:pos:R:3 pbc="T T T"
As -3.2070 1.1513 0.1922
As -6.8215 3.2119 1.4125
Zn 0.0000 0.0000 0.0000
Ga -4.6619 3.3057 -0.0522
Ga -5.3666 1.0575 1.6569
```

Results
**ΔE to the lowest computed polymorph**: 12.4 meV/atom
**DFT total energy**: -16.10 eV/cell
**Density of states at the Fermi level**: 0.87 states/eV/f.u.

***

First-principles (PBE) data for a relaxed structure of ZnGa3As4, as listed in the Alexandria database.

Structure (extended XYZ):
```
8
Lattice="-0.8819 2.7667 -4.9215 5.5597 -0.4415 -1.2444 -3.3294 -6.1823 0.4385" Properties=species:S:1:pos:R:3 pbc="T T T"
Zn 0.0000 0.0000 0.0000
As 0.9174 -0.6694 -2.1911
As 3.2680 0.4991 -5.2895
As 0.8742 -4.5780 -1.0632
As -2.3627 -2.9659 -2.9110
Ga 2.3389 1.1626 -3.0830
Ga -0.9362 -1.1265 -3.7830
Ga 2.2846 -2.7306 -1.9444
```

Results
**DFT total energy**: -31.04 eV/cell
**Density of states at the Fermi level**: 3.26 states/eV/f.u.

***

First-principles (PBE) data for a relaxed structure of ZnGa2As2, as listed in the Alexandria database.

Structure (extended XYZ):
```
10
Lattice="7.3400 0.0000 0.0000 0.0000 7.3400 0.0000 0.0000 0.0000 3.5456" Properties=species:S:1:pos:R:3 pbc="T T T"
As 1.1116 4.7816 1.7728
As 4.7816 6.2284 1.7728
As 6.2284 2.5584 1.7728
As 2.5584 1.1116 1.7728
Zn 0.0000 0.0000 0.0000
Zn 3.6700 3.6700 0.0000
Ga 2.6053 6.2753 0.0000
Ga 6.2753 4.7347 0.0000
Ga 4.7347 1.0647 0.0000
Ga 1.0647 2.6053 0.0000
```

Results
**ΔE to the lowest computed polymorph**: 93.4 meV/atom
**DFT total energy**: -31.39 eV/cell
**Density of states at the Fermi level**: 1.92 states/eV/f.u.

***

First-principles (PBE) data for a relaxed structure of Zn2GaAs2, as listed in the Alexandria database.

Structure (extended XYZ):
```
10
Lattice="7.7431 0.0000 0.0000 0.0000 7.7431 0.0000 0.0000 0.0000 3.1153" Properties=species:S:1:pos:R:3 pbc="T T T"
As 2.5567 6.4283 0.0000
As 6.4283 5.1864 0.0000
As 5.1864 1.3148 0.0000
As 1.3148 2.5567 0.0000
Zn 1.0070 4.8786 1.5577
Zn 4.8786 6.7361 1.5577
Zn 6.7361 2.8645 1.5577
Zn 2.8645 1.0070 1.5577
Ga 0.0000 0.0000 0.0000
Ga 3.8716 3.8716 0.0000
```

Results
**ΔE to the lowest computed polymorph**: 90.3 meV/atom
**DFT total energy**: -28.45 eV/cell
**Density of states at the Fermi level**: 2.63 states/eV/f.u.

***

First-principles (PBE) data for a relaxed structure of Zn2GaAs2, as listed in the Alexandria database.

Structure (extended XYZ):
```
5
Lattice="-0.7565 -3.7667 1.1157 3.6078 -0.2165 1.7153 -1.0577 0.1336 6.9069" Properties=species:S:1:pos:R:3 pbc="T T T"
As 0.8205 -1.4737 2.7536
As 0.9731 -2.3759 6.9842
Zn -0.1942 -2.8124 4.7190
Zn 1.9879 -1.0372 5.0188
Ga 0.0000 0.0000 0.0000
```

Results
**ΔE to the lowest computed polymorph**: 0.0 meV/atom
**DFT total energy**: -14.68 eV/cell
**Density of states at the Fermi level**: 2.15 states/eV/f.u.

***

First-principles (PBE) data for a relaxed structure of ZrGa2As, as listed in the Alexandria database.

Structure (extended XYZ):
```
8
Lattice="-2.0164 -0.3034 -7.3062 -5.0412 -5.4323 1.6169 -5.4455 -0.9553 -2.3951" Properties=species:S:1:pos:R:3 pbc="T T T"
As -3.5288 -2.8679 -2.8446
As -7.0078 -4.6277 -1.8114
Ga -3.2069 -1.1007 -4.8003
Ga -4.8091 -3.6787 -0.6642
Ga -6.8430 -2.9883 -3.8938
Ga -10.1473 -5.6142 -6.8104
Zr 0.0000 0.0000 0.0000
Zr -5.4954 -2.0633 -6.2729
```

Results
**DFT total energy**: -39.99 eV/cell
**Density of states at the Fermi level**: 2.68 states/eV/f.u.

***

First-principles (PBE) data for a relaxed structure of Zr2GaAs, as listed in the Alexandria database.

Structure (extended XYZ):
```
8
Lattice="3.8803 0.0000 0.0000 0.0000 5.0975 -1.9336 0.0000 0.0228 7.6962" Properties=species:S:1:pos:R:3 pbc="T T T"
Zr 2.9102 1.1330 2.8454
Zr 0.9701 3.9873 2.9173
Zr 0.9701 4.0165 -1.0002
Zr 2.9102 1.1037 6.7629
Ga 2.9102 3.5155 0.9517
Ga 0.9701 1.6048 4.8110
As 0.9701 1.6990 0.9448
As 2.9102 3.4213 4.8178
```

Results
**ΔE to the lowest computed polymorph**: 0.0 meV/atom
**DFT total energy**: -56.17 eV/cell
**Density of states at the Fermi level**: 1.39 states/eV/f.u.

***

First-principles (PBE) data for a relaxed structure of ZrGa3As, as listed in the Alexandria database.

Structure (extended XYZ):
```
5
Lattice="5.2313 0.0000 0.0000 0.0000 5.2313 0.0000 0.0000 0.0000 5.2313" Properties=species:S:1:pos:R:3 pbc="T T T"
As 2.6157 2.6157 2.6157
Ga 0.0000 2.6157 0.0000
Ga 0.0000 0.0000 2.6157
Ga 2.6157 0.0000 0.0000
Zr 0.0000 0.0000 0.0000
```

Results
**ΔE to the lowest computed polymorph**: 211.3 meV/atom
**DFT total energy**: -18.39 eV/cell
**Density of states at the Fermi level**: 4.14 states/eV/f.u.